# 1
# PBE-GGA UCdNiPt, optimized geometry
data_UCdNiPt
_cell_length_a 6.679
_cell_length_b 6.679
_cell_length_c 6.679
_cell_angle_alpha 90.00
_cell_angle_beta 90.00
_cell_angle_gamma 90.00
_space_group_name_H-M_alt 'F -4 3 m'
_space_group_IT_number 216
_space_group_name_Hall 'F -4 2 3'
loop_
_atom_site_label
_atom_site_fract_x
_atom_site_fract_y
_atom_site_fract_z
U1 0.000 0.000 0.000
Cd1 0.000 0.000 0.500
Ni1 0.250 0.250 0.750
Pt1 0.250 0.250 0.250
# **Energy**: -6.249 eV per atom
# **Energy relative to the elements**: -0.243 eV per atom

---

# 2
# PBE-GGA YCdNiPt, optimized geometry
data_YCdNiPt
_cell_length_a 6.680
_cell_length_b 6.680
_cell_length_c 6.680
_cell_angle_alpha 90.00
_cell_angle_beta 90.00
_cell_angle_gamma 90.00
_space_group_name_H-M_alt 'F -4 3 m'
_space_group_IT_number 216
_space_group_name_Hall 'F -4 2 3'
loop_
_atom_site_label
_atom_site_fract_x
_atom_site_fract_y
_atom_site_fract_z
Y1 0.000 0.000 0.000
Cd1 0.000 0.000 0.500
Ni1 0.250 0.250 0.250
Pt1 0.250 0.250 0.750
# **Energy**: -5.342 eV per atom
# **Energy relative to the elements**: -0.542 eV per atom

---

# 3
# PBE-GGA ZnCd2NiPt, optimized geometry
data_ZnCd2NiPt
_cell_length_a 4.855
_cell_length_b 4.855
_cell_length_c 4.653
_cell_angle_alpha 90.00
_cell_angle_beta 90.00
_cell_angle_gamma 90.00
_space_group_name_H-M_alt 'P 4/m m m'
_space_group_IT_number 123
_space_group_name_Hall '-P 4 2'
loop_
_atom_site_label
_atom_site_fract_x
_atom_site_fract_y
_atom_site_fract_z
Zn1 0.000 0.000 0.000
Cd1 0.000 0.500 0.000
Ni1 0.500 0.500 0.500
Pt1 0.000 0.000 0.500
# **Energy**: -2.206 eV per atom
# **Energy relative to the elements**: 0.780 eV per atom

---

# 4
# PBE-GGA Zn2Cd2NiPt5, optimized geometry
data_Zn2Cd2NiPt5
_cell_length_a 9.310
_cell_length_b 9.310
_cell_length_c 3.782
_cell_angle_alpha 90.00
_cell_angle_beta 90.00
_cell_angle_gamma 90.00
_space_group_name_H-M_alt 'P 4/m b m'
_space_group_IT_number 127
_space_group_name_Hall '-P 4 2ab'
loop_
_atom_site_label
_atom_site_fract_x
_atom_site_fract_y
_atom_site_fract_z
Zn1 0.129 0.371 0.000
Cd1 0.171 0.671 0.000
Ni1 0.000 0.000 0.000
Pt1 0.000 0.500 0.500
Pt2 0.074 0.194 0.500
# **Energy**: -4.248 eV per atom
# **Energy relative to the elements**: -0.211 eV per atom